1.
A plane-wave DFT calculation with PBE was carried out for a relaxed structure of Cs2RbZn.

Results
E above lowest polymorph	0.063	eV per atom
DOS at the Fermi energy	0.818	states/eV per atom
size of the total moment	0.00	μB/f.u.
E	-0.8032	eV/atom
ΔH_f (0 K)	0.184	eV/atom

Cell: 10.5942 10.5942 10.5942 Å, 90.00 90.00 90.00°
Last column: nearest neighbours and their distance in Å.
Space group Fm-3m (No. 225)
Inequivalent atoms, fractional coordinates:
Cs1 0.2500 0.2500 0.2500  4 Rb 4.59, 4 Zn 4.59
Rb1 0.0000 0.0000 0.0000  8 Cs 4.59
Zn1 0.0000 0.0000 0.5000  8 Cs 4.59

***

2.
A plane-wave DFT calculation with PBE was carried out for a relaxed structure of Cs4RbZn.

Results
DOS at the Fermi energy	0.890	states/eV per atom
size of the total moment	0.00	μB/f.u.
E	-0.9011	eV/atom
ΔH_f (0 K)	0.042	eV/atom

Cell: 25.3342 10.3555 8.6541 Å, 90.00 109.72 90.00°
Last column: nearest neighbours and their distance in Å.
Space group C2/m (No. 12)
Inequivalent atoms, fractional coordinates:
Cs1 0.0000 0.2426 0.0000  2 Zn 3.95
Cs2 0.1112 0.2476 0.6111  2 Zn 3.90-3.91
Cs3 0.1883 0.0000 0.1908  8 Cs 5.15-5.45, 4 Rb 5.16-5.18, 2 Zn 5.39-5.46
Rb1 0.1931 0.5000 0.1905  12 Cs 5.16-5.43
Zn1 0.0005 0.0000 0.3519  1 Zn 2.57

***

3.
A plane-wave DFT calculation with PBE was carried out for a relaxed structure of Cs2Rb2Zn.

Results
E above lowest polymorph	0.083	eV per atom
DOS at the Fermi energy	0.790	states/eV per atom
size of the total moment	0.00	μB/f.u.
E	-0.7491	eV/atom
ΔH_f (0 K)	0.234	eV/atom

Cell: 5.8872 5.8872 26.2980 Å, 90.00 90.00 90.00°
Last column: nearest neighbours and their distance in Å.
Space group I4/mmm (No. 139)
Inequivalent atoms, fractional coordinates:
Cs1 0.0000 0.0000 0.0851  1 Cs 4.48, 4 Zn 4.73
Rb1 0.0000 0.5000 0.2500  4 Rb 4.16
Zn1 0.0000 0.0000 0.5000  8 Cs 4.73

***

4.
A plane-wave DFT calculation with PBE was carried out for a relaxed structure of Cs2RbZn2.

Results
E above lowest polymorph	0.106	eV per atom
DOS at the Fermi energy	0.474	states/eV per atom
size of the total moment	0.00	μB/f.u.
E	-0.8068	eV/atom
ΔH_f (0 K)	0.238	eV/atom

Cell: 11.0529 11.0529 4.5201 Å, 90.00 90.00 90.00°
Last column: nearest neighbours and their distance in Å.
Space group P4/mbm (No. 127)
Inequivalent atoms, fractional coordinates:
Cs1 0.1398 0.3602 0.0000  6 Zn 3.92-3.99, 2 Rb 4.27, 1 Cs 4.37
Rb1 0.0000 0.0000 0.0000  4 Cs 4.27, 2 Rb 4.52, 8 Zn 4.78
Zn1 0.1498 0.6498 0.5000  6 Cs 3.92-3.99